No. 1
Here is crystalline LiSn2Hg6 at its relaxed geometry from Alexandria via LeMat-Bulk. Energies are from PBE-GGA.

```
data_LiSn2Hg6
_cell_length_a 8.4103
_cell_length_b 8.4103
_cell_length_c 9.1272
_cell_angle_alpha 111.09
_cell_angle_beta 111.09
_cell_angle_gamma 22.23
_symmetry_space_group_name_H-M 'P 1'
_symmetry_Int_Tables_number 1
loop_
_symmetry_equiv_pos_as_xyz
'x,y,z'
loop_
_atom_site_label
_atom_site_type_symbol
_atom_site_fract_x
_atom_site_fract_y
_atom_site_fract_z
Li1 Li 0.0000 0.0000 0.0000
Sn1 Sn 0.4941 0.4941 0.6688
Sn2 Sn 0.5059 0.5059 0.3312
Hg1 Hg 0.1642 0.1642 0.8877
Hg2 Hg 0.3106 0.3106 0.4141
Hg3 Hg 0.3535 0.3535 0.8154
Hg4 Hg 0.6465 0.6465 0.1846
Hg5 Hg 0.6894 0.6894 0.5859
Hg6 Hg 0.8358 0.8358 0.1123
```

Values from the calculation:
As for the space-group type: C2/m (12).



No. 2
Here is crystalline Ba4Tl at its relaxed geometry from Alexandria via LeMat-Bulk. Energies are from PBE-GGA.

```
data_Ba4Tl
_cell_length_a 8.0628
_cell_length_b 8.0628
_cell_length_c 8.3921
_cell_angle_alpha 90.00
_cell_angle_beta 90.00
_cell_angle_gamma 90.00
_symmetry_space_group_name_H-M 'P 1'
_symmetry_Int_Tables_number 1
loop_
_symmetry_equiv_pos_as_xyz
'x,y,z'
loop_
_atom_site_label
_atom_site_type_symbol
_atom_site_fract_x
_atom_site_fract_y
_atom_site_fract_z
Ba1 Ba 0.1523 0.2720 0.3308
Ba2 Ba 0.2280 0.3477 0.8308
Ba3 Ba 0.2720 0.8477 0.6692
Ba4 Ba 0.3477 0.7720 0.1692
Ba5 Ba 0.6523 0.2280 0.1692
Ba6 Ba 0.7280 0.1523 0.6692
Ba7 Ba 0.7720 0.6523 0.8308
Ba8 Ba 0.8477 0.7280 0.3308
Tl1 Tl 0.0000 0.0000 0.0000
Tl2 Tl 0.5000 0.5000 0.5000
```

Values from the calculation:
As for the space-group type: P-42_1c (114). For the energy above the most stable polymorph in this dataset, the calculation gives 0.003 eV per atom.



No. 3
Here is crystalline LiCa2Ni at its relaxed geometry from Alexandria via LeMat-Bulk. Energies are from PBE-GGA.

```
data_LiCa2Ni
_cell_length_a 5.0864
_cell_length_b 5.0864
_cell_length_c 5.0864
_cell_angle_alpha 60.00
_cell_angle_beta 60.00
_cell_angle_gamma 60.00
_symmetry_space_group_name_H-M 'P 1'
_symmetry_Int_Tables_number 1
loop_
_symmetry_equiv_pos_as_xyz
'x,y,z'
loop_
_atom_site_label
_atom_site_type_symbol
_atom_site_fract_x
_atom_site_fract_y
_atom_site_fract_z
Li1 Li 0.0000 0.0000 0.0000
Ca1 Ca 0.5000 0.5000 0.5000
Ca2 Ca 0.7500 0.7500 0.7500
Ni1 Ni 0.2500 0.2500 0.2500
```

Values from the calculation:
As for the space-group type: F-43m (216).



no.,DFT formation energy (meV/atom),DFT total energy (eV per atom),DOS(E_F) (states/eV per atom)
1,-36,-1.34,0.350
2,-120,-2.13,1.515
3,251,-2.67,1.075